Entry 1:
Entry from Alexandria: a relaxed YCoSe crystal (PBEsol).

It has space group P3m1 (No. 156), with a = 3.9859 Å, b = 3.9859 Å, c = 3.7466 Å, α = 90.00°, β = 90.00° and γ = 120.00°. The asymmetric unit holds Y at (0.0000, 0.0000, 0.0000), Co at (0.6667, 0.3333, 0.4985) and Se at (0.3333, 0.6667, 0.5004).

The crystal system is trigonal.

=====

Entry 2:
Entry from Alexandria: a relaxed MnBe2Ag crystal (PBEsol).

It has space group Imm2 (No. 44), with a = 2.730 Å, b = 3.958 Å, c = 8.300 Å, α = 90.00°, β = 90.00° and γ = 90.00°. The asymmetric unit holds Mn at (0.000, 0.000, 0.000), Be at (0.000, 0.000, 0.529), Be at (0.000, 0.500, 0.243) and Ag at (0.000, 0.500, 0.779).

The crystal system is orthorhombic.

=====

Entry 3:
Entry from Alexandria: a relaxed NpSO crystal (PBEsol).

It has space group P4/nmm (No. 129, origin choice 2), with a = 3.734 Å, b = 3.734 Å, c = 6.589 Å, α = 90.00°, β = 90.00° and γ = 90.00°. The asymmetric unit holds Np at (0.250, 0.250, 0.197), S at (0.250, 0.250, 0.631) and O at (0.250, 0.750, 0.000).

The crystal system is tetragonal.

=====

Let's list magnetic moment in order: 0.0; 2.8; 3.0 μB per formula unit.
Let's list uncorrected energy in order: -21.4; -40.4; -60.1 eV per cell.